Material: AlH3
Method: DFT, PBEsol
State: relaxed

abc: 6.2861 6.2861 6.2861
angles: 60.00 60.00 60.00
Closest atoms and distances in Å follow each position.
Positions (direct):
H 0.9505 0.9505 0.5495  2 Al 1.71
H 0.5495 0.9505 0.9505  2 Al 1.71
H 0.2995 0.7005 0.2995  2 Al 1.71
H 0.5495 0.9505 0.5495  2 Al 1.71
H 0.9505 0.5495 0.9505  2 Al 1.71
H 0.2995 0.2995 0.7005  2 Al 1.71
H 0.9505 0.5495 0.5495  2 Al 1.71
H 0.7005 0.2995 0.7005  2 Al 1.71
H 0.5495 0.5495 0.9505  2 Al 1.71
H 0.2995 0.7005 0.7005  2 Al 1.71
H 0.7005 0.2995 0.2995  2 Al 1.71
H 0.7005 0.7005 0.2995  2 Al 1.71
Al 0.1250 0.6250 0.6250  6 H 1.71
Al 0.6250 0.1250 0.6250  6 H 1.71
Al 0.6250 0.6250 0.6250  6 H 1.71
Al 0.6250 0.6250 0.1250  6 H 1.71

Values from the calculation:
The space-group type is No. 227. The total energy is -55.78 eV/cell. The calculation puts the density of states at the Fermi level at 0.00 states/eV/f.u.


Material: AlH3
Method: DFT, PBEsol
State: relaxed

abc: 5.3578 5.6750 7.2475
angles: 90.00 90.00 90.00
Closest atoms and distances in Å follow each position.
Positions (direct):
H 0.7936 0.6977 0.9075  2 Al 1.71-1.72
H 0.3125 0.0000 0.3074  2 Al 1.69-1.72
H 0.7064 0.1977 0.4075  2 Al 1.71-1.72
H 0.0000 0.5000 0.5000  2 Al 1.68
H 0.7064 0.8023 0.4075  2 Al 1.71-1.72
H 0.5000 0.0000 0.0000  2 Al 1.68
H 0.2936 0.1977 0.5925  2 Al 1.71-1.72
H 0.6875 0.0000 0.6926  2 Al 1.69-1.72
H 0.8957 0.0000 0.1423  2 Al 1.73-1.76
H 0.1043 0.0000 0.8577  2 Al 1.73-1.76
H 0.2936 0.8023 0.5925  2 Al 1.71-1.72
H 0.2064 0.6977 0.0925  2 Al 1.71-1.72
H 0.3957 0.5000 0.3577  2 Al 1.73-1.76
H 0.6043 0.5000 0.6423  2 Al 1.73-1.76
H 0.2064 0.3023 0.0925  2 Al 1.71-1.72
H 0.7936 0.3023 0.9075  2 Al 1.71-1.72
H 0.8125 0.5000 0.1926  2 Al 1.69-1.72
H 0.1875 0.5000 0.8074  2 Al 1.69-1.72
Al 0.5000 0.0000 0.5000  6 H 1.71-1.72
Al 0.7897 0.0000 0.9126  6 H 1.68-1.76
Al 0.2897 0.5000 0.5874  6 H 1.68-1.76
Al 0.2103 0.0000 0.0874  6 H 1.68-1.76
Al 0.7103 0.5000 0.4126  6 H 1.68-1.76
Al 0.0000 0.5000 0.0000  6 H 1.71-1.72

Values from the calculation:
The space-group type is No. 58. The total energy is -83.49 eV/cell. The calculation puts the density of states at the Fermi level at 0.00 states/eV/f.u.


Material: HfAl2H
Method: DFT, PBEsol
State: relaxed

abc: 5.3834 5.3834 5.3834
angles: 90.32 119.82 119.82
Closest atoms and distances in Å follow each position.
Positions (direct):
Al 0.2243 0.8750 0.5993  2 H 1.66
Al 0.7243 0.3493 0.1250  2 H 1.66
Al 0.7757 0.3750 0.6507  2 H 1.66
Al 0.2757 0.4007 0.6250  2 H 1.66
Hf 0.5000 0.7500 0.2500  12 Al 3.05-3.28, 4 H 3.30, 4 Hf 3.30
Hf 0.0000 0.0000 0.0000  12 Al 3.05-3.28, 4 Hf 3.30, 4 H 3.30
H 0.5000 0.2500 0.7500  4 Al 1.66
H 0.0000 0.5000 0.5000  4 Al 1.66

Values from the calculation:
The space-group type is No. 122. Its relative energy among the computed polymorphs is 0 kJ/mol of formula units. The total energy is -43.88 eV/cell. The calculation puts the density of states at the Fermi level at 1.25 states/eV/f.u.


Material: HfAlH3
Method: DFT, PBEsol
State: relaxed

abc: 3.5288 3.5288 3.5288
angles: 90.00 90.00 90.00
Closest atoms and distances in Å follow each position.
Positions (direct):
Hf 0.5000 0.5000 0.5000  12 H 2.50
H 0.5000 0.0000 0.0000  2 Al 1.76
H 0.0000 0.0000 0.5000  2 Al 1.76
H 0.0000 0.5000 0.0000  2 Al 1.76
Al 0.0000 0.0000 0.0000  6 H 1.76

Values from the calculation:
The space-group type is No. 221. The total energy is -22.93 eV/cell. The calculation puts the density of states at the Fermi level at 1.68 states/eV/f.u.


Material: HfAl2H
Method: DFT, PBEsol
State: relaxed

abc: 4.5071 4.5071 4.5071
angles: 60.00 60.00 60.00
Closest atoms and distances in Å follow each position.
Positions (direct):
Al 0.2500 0.2500 0.2500  4 H 2.76, 4 Hf 2.76
Al 0.7500 0.7500 0.7500  4 Hf 2.76, 4 H 2.76
Hf 0.5000 0.5000 0.5000  8 Al 2.76
H 0.0000 0.0000 0.0000  8 Al 2.76

Values from the calculation:
The space-group type is No. 225. Its relative energy among the computed polymorphs is 247 kJ/mol of formula units. The total energy is -19.38 eV/cell. The calculation puts the density of states at the Fermi level at 3.09 states/eV/f.u.


Material: HfAlH2Os
Method: DFT, PBEsol
State: relaxed

abc: 3.7492 3.7492 4.9985
angles: 90.00 90.00 90.00
Closest atoms and distances in Å follow each position.
Positions (direct):
Os 0.0000 0.0000 0.0000  4 H 1.87
H 0.5000 0.0000 0.0000  2 Os 1.87
H 0.0000 0.5000 0.0000  2 Os 1.87
Hf 0.0000 0.0000 0.5000  2 Os 2.50, 4 Al 2.65
Al 0.5000 0.5000 0.5000  4 Hf 2.65

Values from the calculation:
The space-group type is No. 123. The total energy is -29.87 eV/cell. The calculation puts the density of states at the Fermi level at 3.55 states/eV/f.u.